Record 1
Compound: NdAlCdAu
Source: Alexandria via LeMat-Bulk
Functional: PBE
Structure: optimized geometry

Density of states at the Fermi level ... 1.74 states/eV/f.u.
Volume ... 22.2 A^3/atom
ΔE_f ... -42.1 kJ per mole of atoms
Total energy ... -3.612 eV per atom

Cell lengths 5.0087, 5.0087, 5.0087 Å; angles 60.00, 60.00, 60.00 degrees
Last column: nearest neighbours and their distance in Å.
Atoms (fractional coordinates):
Nd 0.2500 0.2500 0.2500  4 Au 3.07, 4 Cd 3.07
Au 0.5000 0.5000 0.5000  4 Al 3.07, 4 Nd 3.07
Al 0.7500 0.7500 0.7500  4 Cd 3.07, 4 Au 3.07
Cd 0.0000 0.0000 0.0000  4 Nd 3.07, 4 Al 3.07

=====

Record 2
Compound: Nd2Al4CdAu3
Source: Alexandria via LeMat-Bulk
Functional: PBE
Structure: optimized geometry

Density of states at the Fermi level ... 4.91 states/eV/f.u.
Volume ... 20.9 A^3/atom
ΔE_f ... -62.9 kJ per mole of atoms
Total energy ... -4.177 eV per atom

Cell lengths 4.4078, 4.4078, 10.7775 Å; angles 90.00, 90.00, 90.00 degrees
Last column: nearest neighbours and their distance in Å.
Atoms (fractional coordinates):
Nd 0.5000 0.0000 0.2462  8 Al 3.34-3.45, 6 Au 3.38-3.51, 2 Cd 3.51
Nd 0.0000 0.5000 0.7538  8 Al 3.34-3.45, 6 Au 3.38-3.51, 2 Cd 3.51
Al 0.5000 0.5000 0.0000  4 Au 2.59
Al 0.0000 0.0000 0.0000  4 Au 2.59
Al 0.5000 0.0000 0.6427  3 Au 2.49-2.69, 2 Cd 2.69
Al 0.0000 0.5000 0.3573  3 Au 2.49-2.69, 2 Cd 2.69
Cd 0.5000 0.5000 0.5000  4 Al 2.69
Au 0.0000 0.0000 0.5000  4 Al 2.69
Au 0.5000 0.0000 0.8742  5 Al 2.49-2.59
Au 0.0000 0.5000 0.1258  5 Al 2.49-2.59

=====

Record 3
Compound: NdAl2CdAu4
Source: Alexandria via LeMat-Bulk
Functional: PBE
Structure: optimized geometry

Density of states at the Fermi level ... 5.02 states/eV/f.u.
Volume ... 20.6 A^3/atom
ΔE_f ... -46.3 kJ per mole of atoms
Total energy ... -3.765 eV per atom

Cell lengths 4.4233, 4.4233, 10.0566 Å; angles 77.30, 77.30, 60.00 degrees
Last column: nearest neighbours and their distance in Å.
Atoms (fractional coordinates):
Nd 0.0000 0.0000 0.0000  8 Au 3.13-3.44
Al 0.7539 0.7539 0.7384  6 Au 2.66-2.71
Al 0.2461 0.2461 0.2616  6 Au 2.66-2.71
Cd 0.5000 0.5000 0.5000  8 Au 2.92-3.05
Au 0.3955 0.3955 0.8136  3 Al 2.66
Au 0.8822 0.8822 0.3534  3 Al 2.71, 3 Cd 2.92, 3 Au 3.03
Au 0.1178 0.1178 0.6466  3 Al 2.71, 3 Cd 2.92, 3 Au 3.03
Au 0.6045 0.6045 0.1864  3 Al 2.66

=====

Record 4
Compound: NpAl2CdAu2
Source: Alexandria via LeMat-Bulk
Functional: PBE
Structure: optimized geometry

Density of states at the Fermi level ... 12.92 states/eV/f.u.
Volume ... 20.3 A^3/atom
ΔE_f ... -19.6 kJ per mole of atoms
Total energy ... -4.853 eV per atom

Cell lengths 4.5148, 4.5148, 6.8916 Å; angles 90.00, 90.00, 120.00 degrees
Last column: nearest neighbours and their distance in Å.
Atoms (fractional coordinates):
Np 0.0000 0.0000 0.0000  6 Au 3.17, 6 Al 3.22, 2 Cd 3.45
Al 0.3333 0.6667 0.7246  3 Au 2.61
Al 0.6667 0.3333 0.2754  3 Au 2.61
Cd 0.0000 0.0000 0.5000  6 Al 3.03, 6 Au 3.08
Au 0.3333 0.6667 0.2611  3 Al 2.61
Au 0.6667 0.3333 0.7389  3 Al 2.61

=====

Q: density of states at the Fermi level of number 4 (NpAl2CdAu2)?
A: 12.92 states/eV/f.u.

=====

Q: Among the records above, which one has the highest volume?
A: NdAlCdAu

=====

Q: The highest ΔE_f belongs to which entry?
A: NpAl2CdAu2

=====

Q: density of states at the Fermi level of number 1 (NdAlCdAu)?
A: 1.74 states/eV/f.u.